DFT (PBE) results for TcOsC3 after structural relaxation.

For the calculated total energy, the calculation gives -7.658 eV/atom. For the formation energy from the elements, the calculation gives 2.1953 eV/atom. Its density of states at the Fermi level is 4.09 states/eV/f.u. For the volume, the calculation gives 12.4 Å³/atom. The crystal system is cubic.

The structure belongs to space group Pm-3m (No. 221); the cell edges are 3.961, 3.961 and 3.961 Å and the angles 90.00°, 90.00° and 90.00°. Symmetry generates all atoms from Tc at (0.000, 0.000, 0.000), Os at (0.500, 0.500, 0.500) and C at (0.000, 0.500, 0.500).